A relaxed structure of Dy2OsBr. Source: Alexandria via LeMat-Bulk, functional PBE-GGA.

Cell and atoms, written as POSCAR:
```
Dy2OsBr
1.0
2.003 1.156 7.634
-2.003 1.156 7.634
0.000 -2.313 7.634
Dy Os Br
2 1 1
direct
0.232 0.232 0.232
0.768 0.768 0.768
0.500 0.500 0.500
0.000 0.000 0.000
```

Calculated values
- E_tot (eV/cell) = -24.6
- magnetization (μB/atom) = 0.000
- SG = R-3m (166)

---

A relaxed structure of Dy2OsBr. Source: Alexandria via LeMat-Bulk, functional PBE-GGA.

Cell and atoms, written as POSCAR:
```
Dy2OsBr
1.0
3.389 0.000 0.000
0.000 3.389 0.000
0.000 0.000 8.187
Dy Os Br
2 1 1
direct
0.000 0.000 0.205
0.000 0.000 0.795
0.500 0.500 0.000
0.500 0.500 0.500
```

Calculated values
- E_tot (eV/cell) = -24.9
- magnetization (μB/atom) = 0.000
- SG = P4/mmm (123)

---

A relaxed structure of DyOsBr. Source: Alexandria via LeMat-Bulk, functional PBE-GGA.

Cell and atoms, written as POSCAR:
```
DyOsBr
1.0
2.085 1.204 11.322
-2.085 1.204 11.322
0.000 -2.407 11.322
Dy Os Br
2 2 2
direct
0.059 0.059 0.059
0.941 0.941 0.941
0.338 0.338 0.338
0.662 0.662 0.662
0.221 0.221 0.221
0.779 0.779 0.779
```

Calculated values
- E_tot (eV/cell) = -40.8
- magnetization (μB/atom) = 0.000
- SG = R-3m (166)

---

A relaxed structure of Dy3OsBr3. Source: Alexandria via LeMat-Bulk, functional PBE-GGA.

Cell and atoms, written as POSCAR:
```
Dy3OsBr3
1.0
8.496 0.000 0.000
0.000 4.173 0.000
-0.307 0.000 11.840
Dy Os Br
6 2 6
direct
0.098 0.250 0.323
0.151 0.250 0.861
0.261 0.750 0.101
0.739 0.250 0.899
0.849 0.750 0.139
0.902 0.750 0.677
0.046 0.250 0.091
0.954 0.750 0.909
0.131 0.250 0.600
0.334 0.750 0.354
0.436 0.750 0.871
0.564 0.250 0.129
0.666 0.250 0.646
0.869 0.750 0.400
```

Calculated values
- E_tot (eV/cell) = -77.2
- magnetization (μB/atom) = 0.000
- SG = P2_1/m (11)

---

A relaxed structure of Dy3PBr7. Source: Alexandria via LeMat-Bulk, functional PBE-GGA.

Cell and atoms, written as POSCAR:
```
Dy3PBr7
1.0
8.393 0.000 0.000
-4.196 7.268 0.000
0.000 0.000 6.863
Dy P Br
3 1 7
direct
0.008 0.504 0.000
0.496 0.504 0.000
0.496 0.992 0.000
0.333 0.667 0.196
0.176 0.352 0.763
0.176 0.824 0.763
0.349 0.174 0.215
0.648 0.824 0.763
0.667 0.333 0.757
0.826 0.174 0.215
0.826 0.651 0.215
```

Calculated values
- E_tot (eV/cell) = -48.5
- magnetization (μB/atom) = 0.095
- SG = P3m1 (156)

---

A relaxed structure of Dy2PBr2. Source: Alexandria via LeMat-Bulk, functional PBE-GGA.

Cell and atoms, written as POSCAR:
```
Dy2PBr2
1.0
2.002 1.156 10.709
-2.002 1.156 10.709
0.000 -2.312 10.709
Dy P Br
2 1 2
direct
0.119 0.119 0.119
0.881 0.881 0.881
0.500 0.500 0.500
0.271 0.271 0.271
0.729 0.729 0.729
```

Calculated values
- E_tot (eV/cell) = -26.8
- magnetization (μB/atom) = 0.000
- SG = R-3m (166)

---

A relaxed structure of Dy6P5Br. Source: Alexandria via LeMat-Bulk, functional PBE-GGA.

Cell and atoms, written as POSCAR:
```
Dy6P5Br
1.0
3.496 -6.039 0.000
3.496 6.039 0.000
-2.326 0.000 6.561
Dy P Br
6 5 1
direct
0.058 0.412 0.739
0.233 0.233 0.260
0.412 0.058 0.739
0.588 0.942 0.261
0.767 0.767 0.740
0.942 0.588 0.261
0.000 0.000 0.500
0.168 0.832 0.000
0.340 0.660 0.500
0.660 0.340 0.500
0.832 0.168 0.000
0.500 0.500 0.000
```

Calculated values
- E_tot (eV/cell) = -75.6
- magnetization (μB/atom) = 0.000
- SG = C2/m (12)

---

A relaxed structure of Dy4PBr5. Source: Alexandria via LeMat-Bulk, functional PBE-GGA.

Cell and atoms, written as POSCAR:
```
Dy4PBr5
1.0
8.984 -1.991 0.000
8.984 1.991 0.000
-1.844 0.000 8.055
Dy P Br
4 1 5
direct
0.000 0.000 0.216
0.000 0.000 0.784
0.352 0.352 0.922
0.648 0.648 0.078
0.500 0.500 0.000
0.166 0.166 0.335
0.172 0.172 0.835
0.500 0.500 0.500
0.828 0.828 0.165
0.834 0.834 0.665
```

Calculated values
- E_tot (eV/cell) = -48.3
- magnetization (μB/atom) = 0.000
- SG = C2/m (12)